# 1
Y2OsPb, optimized geometry, DFT GGA-PBEsol; formation energy = 0.3542 eV per atom; space group = R3m, No. 160
1.0
3.398 0.000 0.000
-1.699 2.943 0.000
0.000 0.000 29.217
Y Os Pb
6 3 3
direct
0.000 0.000 0.000
0.000 0.000 0.229
0.333 0.667 0.667
0.333 0.667 0.896
0.667 0.333 0.333
0.667 0.333 0.562
0.000 0.000 0.493
0.333 0.667 0.159
0.667 0.333 0.826
0.000 0.000 0.757
0.333 0.667 0.424
0.667 0.333 0.090



# 2
RbNbB2H, optimized geometry, DFT GGA-PBEsol; VASP energy = -16.44 eV per cell; space group = P4/mmm, No. 123
1.0
4.655 0.000 0.000
0.000 4.655 0.000
0.000 0.000 3.265
Rb Nb B H
1 1 2 1
direct
0.000 0.000 0.000
0.500 0.500 0.500
0.000 0.500 0.000
0.500 0.000 0.000
0.000 0.000 0.500



Number 1: M_tot 0.06 μB per cell. Number 2: M_tot 0.92 μB per cell.